VASP calculation (meta-GGA SCAN) on Cu2BrCl at its PBEsol-relaxed geometry. Values from VASP.

- formation energy from raw total energies (eV/atom) = -0.157
- relative energy among the computed polymorphs (eV/f.u.) = 0.825
- ρ (kg/m³) = 5271
- calculated volume (Å³/atom) = 19.10

```
&SYSTEM
  ibrav = 0, nat = 4, ntyp = 3
/
ATOMIC_SPECIES
Cu 63.55 Cu.upf
Br 79.90 Br.upf
Cl 35.45 Cl.upf
CELL_PARAMETERS angstrom
-1.7052 1.7195 6.5129
1.7052 -1.7195 6.5129
1.7052 1.7195 -6.5129
ATOMIC_POSITIONS crystal
Cu 0.0000 0.0000 0.0000
Cu 0.8582 0.3582 0.5000
Br 0.2995 0.7995 0.5000
Cl 0.5427 0.5427 0.0000
```